1.
The following is a GGA-PBE calculation of a relaxed structure of AcTbAl, from the Alexandria database.

Geometry as POSCAR:
```
AcTbAl
1.0
5.185 0.000 0.000
-2.592 4.490 0.000
0.000 0.000 8.090
Ac Tb Al
2 2 2
direct
0.333 0.667 0.372
0.667 0.333 0.628
0.333 0.667 0.905
0.667 0.333 0.095
0.000 0.000 0.173
0.000 0.000 0.827
```

Properties
The value obtained for the relative energy among the computed polymorphs is 0.026 eV per atom. Its calculated formation energy is -0.127 eV/atom.



2.
The following is a GGA-PBE calculation of a relaxed structure of Nd2TmGa3Rh4, from the Alexandria database.

Geometry as POSCAR:
```
Nd2TmGa3Rh4
1.0
4.286 0.000 0.000
0.000 4.286 0.000
0.000 0.000 10.851
Nd Tm Ga Rh
2 1 3 4
direct
0.000 0.500 0.223
0.500 0.000 0.777
0.000 0.000 0.500
0.000 0.500 0.882
0.500 0.000 0.118
0.500 0.500 0.500
0.000 0.000 0.000
0.000 0.500 0.651
0.500 0.000 0.349
0.500 0.500 0.000
```

Properties
Its calculated formation energy is -0.801 eV/atom.



3.
The following is a GGA-PBE calculation of a relaxed structure of ReIrPb2F, from the Alexandria database.

Geometry as POSCAR:
```
ReIrPb2F
1.0
4.948 0.000 0.000
0.000 4.948 0.000
0.000 0.000 4.019
Re Ir Pb F
1 1 2 1
direct
0.000 0.000 0.000
0.500 0.500 0.000
0.000 0.500 0.500
0.500 0.000 0.500
0.000 0.000 0.500
```

Properties
The formation energy (no corrections) comes out at 857 meV/atom.



no.,N(E_F) (states/eV/f.u.)
1,2.31
2,6.40
3,6.12